# 1
# TlSiSn3

Crystalline TlSiSn3 at its relaxed geometry (PBE, Alexandria).

Calculated values
M_tot (μB/f.u.): 0.0
Fermi-level density of states (states/eV per atom): 0.6163
Raw formation energy (eV per formula unit): 1.94

Structure (CIF):
```
data_TlSiSn3
_cell_length_a 5.297
_cell_length_b 5.297
_cell_length_c 5.297
_cell_angle_alpha 90.00
_cell_angle_beta 90.00
_cell_angle_gamma 90.00
_space_group_name_H-M_alt 'P m -3 m'
_space_group_IT_number 221
_space_group_name_Hall '-P 4 2 3'
loop_
_atom_site_label
_atom_site_type_symbol
_atom_site_fract_x
_atom_site_fract_y
_atom_site_fract_z
Tl1 Tl 0.000 0.000 0.000
Si1 Si 0.500 0.500 0.500
Sn1 Sn 0.000 0.500 0.500
```

---

# 2
# BaSrCu

Crystalline BaSrCu at its relaxed geometry (PBE, Alexandria).

Calculated values
M_tot (μB/f.u.): 0.0
Fermi-level density of states (states/eV per atom): 1.4459
E_form (kJ/mol of formula units): 190.0

Structure (CIF):
```
data_BaSrCu
_cell_length_a 7.702
_cell_length_b 7.702
_cell_length_c 7.702
_cell_angle_alpha 90.00
_cell_angle_beta 90.00
_cell_angle_gamma 90.00
_space_group_name_H-M_alt 'F -4 3 m'
_space_group_IT_number 216
_space_group_name_Hall 'F -4 2 3'
loop_
_atom_site_label
_atom_site_type_symbol
_atom_site_fract_x
_atom_site_fract_y
_atom_site_fract_z
Ba1 Ba 0.000 0.000 0.000
Sr1 Sr 0.250 0.250 0.750
Cu1 Cu 0.250 0.250 0.250
```

---

# 3
# TlTcMo2

Crystalline TlTcMo2 at its relaxed geometry (PBE, Alexandria).

Calculated values
M_tot (μB/f.u.): 0.0
Fermi-level density of states (states/eV per atom): 0.6604
E_form (kJ/mol of formula units): 160.0

Structure (CIF):
```
data_TlTcMo2
_cell_length_a 2.929
_cell_length_b 2.929
_cell_length_c 8.076
_cell_angle_alpha 90.00
_cell_angle_beta 90.00
_cell_angle_gamma 90.00
_space_group_name_H-M_alt 'P 4/m m m'
_space_group_IT_number 123
_space_group_name_Hall '-P 4 2'
loop_
_atom_site_label
_atom_site_type_symbol
_atom_site_fract_x
_atom_site_fract_y
_atom_site_fract_z
Tl1 Tl 0.000 0.000 0.000
Tc1 Tc 0.000 0.000 0.500
Mo1 Mo 0.500 0.500 0.286
```

---

# 4
# AcSmAl2Si

Crystalline AcSmAl2Si at its relaxed geometry (PBE, Alexandria).

Calculated values
M_tot (μB/f.u.): 0.0
Fermi-level density of states (states/eV per atom): 0.3666
Raw formation energy (eV per formula unit): -2.09

Structure (CIF):
```
data_AcSmAl2Si
_cell_length_a 4.480
_cell_length_b 4.624
_cell_length_c 12.426
_cell_angle_alpha 90.00
_cell_angle_beta 90.00
_cell_angle_gamma 90.00
_space_group_name_H-M_alt 'I m m 2'
_space_group_IT_number 44
loop_
_space_group_symop_operation_xyz
'x,y,z'
'-x,-y,z'
'-x,y,z'
'x,-y,z'
'x+1/2,y+1/2,z+1/2'
'-x+1/2,-y+1/2,z+1/2'
'-x+1/2,y+1/2,z+1/2'
'x+1/2,-y+1/2,z+1/2'
loop_
_atom_site_label
_atom_site_type_symbol
_atom_site_fract_x
_atom_site_fract_y
_atom_site_fract_z
Ac1 Ac 0.000 0.000 0.000
Sm1 Sm 0.000 0.500 0.760
Al1 Al 0.000 0.000 0.608
Al2 Al 0.000 0.500 0.245
Si1 Si 0.000 0.000 0.406
```

---

# 5
# BeFeAg2

Crystalline BeFeAg2 at its relaxed geometry (PBE, Alexandria).

Calculated values
M_tot (μB/f.u.): 2.9
Fermi-level density of states (states/eV per atom): 0.6453
E_form (kJ/mol of formula units): 152.4

Structure (CIF):
```
data_BeFeAg2
_cell_length_a 4.095
_cell_length_b 4.095
_cell_length_c 6.827
_cell_angle_alpha 90.00
_cell_angle_beta 90.00
_cell_angle_gamma 90.00
_space_group_name_H-M_alt 'I 4/m m m'
_space_group_IT_number 139
_space_group_name_Hall '-I 4 2'
loop_
_atom_site_label
_atom_site_type_symbol
_atom_site_fract_x
_atom_site_fract_y
_atom_site_fract_z
Be1 Be 0.000 0.000 0.000
Fe1 Fe 0.000 0.000 0.500
Ag1 Ag 0.000 0.500 0.250
```

---

# 6
# In12Se3S5

Crystalline In12Se3S5 at its relaxed geometry (PBE, Alexandria).

Calculated values
M_tot (μB/f.u.): 0.0
Fermi-level density of states (states/eV per atom): 0.5763
Raw formation energy (eV per formula unit): -2.85

Structure (CIF):
```
data_In12Se3S5
_cell_length_a 17.230
_cell_length_b 17.230
_cell_length_c 17.230
_cell_angle_alpha 90.00
_cell_angle_beta 90.00
_cell_angle_gamma 90.00
_space_group_name_H-M_alt 'I a -3 d'
_space_group_IT_number 230
_space_group_name_Hall '-I 4bd 2c 3'
loop_
_atom_site_label
_atom_site_type_symbol
_atom_site_fract_x
_atom_site_fract_y
_atom_site_fract_z
In1 In 0.014 0.065 0.656
Se1 Se 0.000 0.250 0.125
S1 S 0.000 0.000 0.000
S2 S 0.000 0.250 0.375
```

---

# 7
# Ti3ZnN

Crystalline Ti3ZnN at its relaxed geometry (PBE, Alexandria).

Calculated values
M_tot (μB/f.u.): 0.0
Fermi-level density of states (states/eV per atom): 0.8204
Raw formation energy (eV per formula unit): -3.76

Structure (CIF):
```
data_Ti3ZnN
_cell_length_a 10.077
_cell_length_b 5.803
_cell_length_c 5.090
_cell_angle_alpha 90.00
_cell_angle_beta 108.52
_cell_angle_gamma 90.00
_space_group_name_H-M_alt 'C 1 m 1'
_space_group_IT_number 8
loop_
_space_group_symop_operation_xyz
'x,y,z'
'x,-y,z'
'x+1/2,y+1/2,z'
'x+1/2,-y+1/2,z'
loop_
_atom_site_label
_atom_site_type_symbol
_atom_site_fract_x
_atom_site_fract_y
_atom_site_fract_z
Ti1 Ti 0.000 0.000 0.000
Ti2 Ti 0.240 0.258 0.969
Ti3 Ti 0.241 0.500 0.468
Ti4 Ti 0.488 0.252 0.493
Zn1 Zn 0.240 0.000 0.467
Zn2 Zn 0.487 0.000 0.006
N1 N 0.115 0.500 0.716
N2 N 0.368 0.500 0.230
```

---

# 8
# Er6Ge3P2S

Crystalline Er6Ge3P2S at its relaxed geometry (PBE, Alexandria).

Calculated values
M_tot (μB/f.u.): 0.0
Fermi-level density of states (states/eV per atom): 0.4048
Raw formation energy (eV per formula unit): -14.94

Structure (CIF):
```
data_Er6Ge3P2S
_cell_length_a 17.839
_cell_length_b 3.910
_cell_length_c 8.270
_cell_angle_alpha 90.00
_cell_angle_beta 107.13
_cell_angle_gamma 90.00
_space_group_name_H-M_alt 'C 1 2/m 1'
_space_group_IT_number 12
loop_
_space_group_symop_operation_xyz
'x,y,z'
'-x,-y,-z'
'-x,y,-z'
'x,-y,z'
'x+1/2,y+1/2,z'
'-x+1/2,-y+1/2,-z'
'-x+1/2,y+1/2,-z'
'x+1/2,-y+1/2,z'
loop_
_atom_site_label
_atom_site_type_symbol
_atom_site_fract_x
_atom_site_fract_y
_atom_site_fract_z
Er1 Er 0.003 0.000 0.246
Er2 Er 0.164 0.500 0.094
Er3 Er 0.170 0.500 0.574
Ge1 Ge 0.000 0.500 0.500
Ge2 Ge 0.166 0.000 0.834
P1 P 0.166 0.000 0.332
S1 S 0.000 0.500 0.000
```

---

# 9
# Cs4Ba3PS8

Crystalline Cs4Ba3PS8 at its relaxed geometry (PBE, Alexandria).

Calculated values
M_tot (μB/f.u.): 0.7
Fermi-level density of states (states/eV per atom): 1.0414
Raw formation energy (eV per formula unit): -16.29

Structure (CIF):
```
data_Cs4Ba3PS8
_cell_length_a 16.059
_cell_length_b 8.933
_cell_length_c 9.530
_cell_angle_alpha 90.00
_cell_angle_beta 119.16
_cell_angle_gamma 90.00
_space_group_name_H-M_alt 'C 1 2/m 1'
_space_group_IT_number 12
loop_
_space_group_symop_operation_xyz
'x,y,z'
'-x,-y,-z'
'-x,y,-z'
'x,-y,z'
'x+1/2,y+1/2,z'
'-x+1/2,-y+1/2,-z'
'-x+1/2,y+1/2,-z'
'x+1/2,-y+1/2,z'
loop_
_atom_site_label
_atom_site_type_symbol
_atom_site_fract_x
_atom_site_fract_y
_atom_site_fract_z
Cs1 Cs 0.000 0.000 0.000
Cs2 Cs 0.000 0.500 0.000
Cs3 Cs 0.250 0.250 0.000
Ba1 Ba 0.000 0.000 0.500
Ba2 Ba 0.250 0.250 0.500
P1 P 0.000 0.500 0.500
S1 S 0.013 0.329 0.351
S2 S 0.216 0.000 0.253
S3 S 0.223 0.000 0.706
```

---

# 10
# Dy3MgN

Crystalline Dy3MgN at its relaxed geometry (PBE, Alexandria).

Calculated values
M_tot (μB/f.u.): 0.0
Fermi-level density of states (states/eV per atom): 1.1131
Raw formation energy (eV per formula unit): -3.53

Structure (CIF):
```
data_Dy3MgN
_cell_length_a 4.870
_cell_length_b 4.870
_cell_length_c 4.870
_cell_angle_alpha 90.00
_cell_angle_beta 90.00
_cell_angle_gamma 90.00
_space_group_name_H-M_alt 'P m -3 m'
_space_group_IT_number 221
_space_group_name_Hall '-P 4 2 3'
loop_
_atom_site_label
_atom_site_type_symbol
_atom_site_fract_x
_atom_site_fract_y
_atom_site_fract_z
Dy1 Dy 0.000 0.000 0.500
Mg1 Mg 0.500 0.500 0.500
N1 N 0.000 0.000 0.000
```

---

# 11
# Ba5Sb2TeP

Crystalline Ba5Sb2TeP at its relaxed geometry (PBE, Alexandria).

Calculated values
M_tot (μB/f.u.): 0.0
Fermi-level density of states (states/eV per atom): 0.8988
Raw formation energy (eV per formula unit): -8.94

Structure (CIF):
```
data_Ba5Sb2TeP
_cell_length_a 5.655
_cell_length_b 8.388
_cell_length_c 17.405
_cell_angle_alpha 90.00
_cell_angle_beta 90.00
_cell_angle_gamma 90.00
_space_group_name_H-M_alt 'I m m m'
_space_group_IT_number 71
_space_group_name_Hall '-I 2 2'
loop_
_atom_site_label
_atom_site_type_symbol
_atom_site_fract_x
_atom_site_fract_y
_atom_site_fract_z
Ba1 Ba 0.000 0.000 0.000
Ba2 Ba 0.000 0.247 0.361
Sb1 Sb 0.000 0.000 0.198
Te1 Te 0.000 0.500 0.000
P1 P 0.000 0.500 0.500
```

---

# 12
# Nd2MgRh3

Crystalline Nd2MgRh3 at its relaxed geometry (PBE, Alexandria).

Calculated values
M_tot (μB/f.u.): 0.0
Fermi-level density of states (states/eV per atom): 0.4506
E_form (kJ/mol of formula units): -208.7

Structure (CIF):
```
data_Nd2MgRh3
_cell_length_a 4.599
_cell_length_b 5.501
_cell_length_c 10.153
_cell_angle_alpha 90.00
_cell_angle_beta 90.00
_cell_angle_gamma 90.00
_space_group_name_H-M_alt 'I m m m'
_space_group_IT_number 71
_space_group_name_Hall '-I 2 2'
loop_
_atom_site_label
_atom_site_type_symbol
_atom_site_fract_x
_atom_site_fract_y
_atom_site_fract_z
Nd1 Nd 0.000 0.000 0.180
Mg1 Mg 0.000 0.000 0.500
Rh1 Rh 0.000 0.500 0.134
Rh2 Rh 0.000 0.500 0.500
```

---

- Which value of Fermi-level density of states does entry 11 give?
  0.8988 states/eV per atom

---

- Which of these has the lowest Fermi-level density of states?
  AcSmAl2Si

---

What did the fourth record say?
# AcSmAl2Si

Crystalline AcSmAl2Si at its relaxed geometry (PBE, Alexandria).

Calculated values
M_tot (μB/f.u.): 0.0
Fermi-level density of states (states/eV per atom): 0.3666
Raw formation energy (eV per formula unit): -2.09

Structure (CIF):
```
data_AcSmAl2Si
_cell_length_a 4.480
_cell_length_b 4.624
_cell_length_c 12.426
_cell_angle_alpha 90.00
_cell_angle_beta 90.00
_cell_angle_gamma 90.00
_space_group_name_H-M_alt 'I m m 2'
_space_group_IT_number 44
loop_
_space_group_symop_operation_xyz
'x,y,z'
'-x,-y,z'
'-x,y,z'
'x,-y,z'
'x+1/2,y+1/2,z+1/2'
'-x+1/2,-y+1/2,z+1/2'
'-x+1/2,y+1/2,z+1/2'
'x+1/2,-y+1/2,z+1/2'
loop_
_atom_site_label
_atom_site_type_symbol
_atom_site_fract_x
_atom_site_fract_y
_atom_site_fract_z
Ac1 Ac 0.000 0.000 0.000
Sm1 Sm 0.000 0.500 0.760
Al1 Al 0.000 0.000 0.608
Al2 Al 0.000 0.500 0.245
Si1 Si 0.000 0.000 0.406
```

---

- M_tot of number 2 (BaSrCu)?
  0.0 μB/f.u.